Record 1
Here is crystalline Ba4Te3I at its relaxed geometry from Alexandria via LeMat-Bulk. Energies are from GGA-PBE.

a b c (Å): 7.053 7.053 14.124
angles (deg): 90.00 90.00 90.00
Space group I4/mmm (No. 139)
Unique sites:
Ba (0.000, 0.000, 0.242) x4
Ba (0.000, 0.500, 0.000) x4
Te (0.000, 0.000, 0.000) x2
Te (0.000, 0.500, 0.250) x4
I (0.000, 0.000, 0.500) x2

E_form (uncorrected): -1.69 eV per atom

Record 2
Here is crystalline Sm2Al5Au at its relaxed geometry from Alexandria via LeMat-Bulk. Energies are from GGA-PBE.

a b c (Å): 6.131 6.131 8.909
angles (deg): 90.00 90.00 90.00
Space group I4mm (No. 107)
Unique sites:
Sm (0.000, 0.500, 0.000) x4
Al (0.000, 0.000, 0.479) x2
Al (0.232, 0.232, 0.750) x8
Au (0.000, 0.000, 0.097) x2

ΔE_f: -3.5 eV/f.u.

Copy entry 1 word for word.
Here is crystalline Ba4Te3I at its relaxed geometry from Alexandria via LeMat-Bulk. Energies are from GGA-PBE.

a b c (Å): 7.053 7.053 14.124
angles (deg): 90.00 90.00 90.00
Space group I4/mmm (No. 139)
Unique sites:
Ba (0.000, 0.000, 0.242) x4
Ba (0.000, 0.500, 0.000) x4
Te (0.000, 0.000, 0.000) x2
Te (0.000, 0.500, 0.250) x4
I (0.000, 0.000, 0.500) x2

E_form (uncorrected): -1.69 eV per atom